6
Lattice="3.6842 0.0000 0.0000 -1.8421 4.6195 0.0000 0.0000 0.0000 14.2496" Properties=species:S:1:pos:R:3 comment="ZnICl, optimized geometry, DFT PBE-GGA" relative_energy_mev_per_atom=254 crystal_system=orthorhombic magnetic_moment_mub_per_fu=0.00 energy_ry_per_atom=-0.159 pbc="T T T"
Zn 0.0000 2.8031 7.1248
Cl 0.0000 0.7913 12.6799
Zn 1.8421 0.7898 0.0000
I 1.8421 2.8014 9.0609
Cl 0.0000 0.7913 1.5697
I 1.8421 2.8014 5.1887